Compound: AcY2Ga
Source: Alexandria via LeMat-Bulk
Functional: GGA-PBE
Structure: relaxed

## Properties
Total energy in eV/cell: -20.515
Crystal system: trigonal
V in Å³/atom: 32.98
Calculated formation energy in eV/atom: -0.11
Space-group type: R3m (160)
Magnetic moment in μB per formula unit: 0.00
Polymorph energy (0 for the lowest one) in kJ/mol of atoms: 14.7

Cell lengths 4.9640, 4.9640, 6.8132 Å; angles 68.64, 68.64, 60.00 degrees
Closest atoms and distances in Å follow each position.
Fractional positions:
Ac1 0.4931 0.4931 0.5208  4 Ga 3.51-3.92, 6 Y 3.56-3.62
Y1 0.0455 0.0455 0.8636  3 Ga 2.92
Y2 0.2792 0.2792 0.1625  3 Ga 3.14, 3 Y 3.41
Ga1 0.6823 0.6823 0.9531  6 Y 2.92-3.14